1.
A relaxed structure of Sm3Dy6Ho2. Source: the Alexandria database, functional GGA-PBE.

- Symmetry: I4/mmm (139)
- Formation energy from the elements: 0.28 eV per atom
- Crystal system: tetragonal
- Excess energy over the best structure of this formula in the dataset: 262 meV/atom
- Electronic total energy: -47.9 eV/cell

a = 4.7377 Å, b = 4.7377 Å, c = 16.9411 Å
α = 98.04°, β = 98.04°, γ = 90.00°
Atoms (fractional coordinates):
Dy  0.6206  0.1206  0.2411
Dy  0.3052  0.3052  0.6103
Dy  0.3794  0.8794  0.7589
Dy  0.8794  0.3794  0.7589
Dy  0.1206  0.6206  0.2411
Dy  0.6948  0.6948  0.3897
Sm  0.2016  0.2016  0.4031
Sm  0.7984  0.7984  0.5969
Sm  0.0000  0.0000  0.0000
Ho  0.4540  0.4540  0.9080
Ho  0.5460  0.5460  0.0920

2.
A relaxed structure of NaPrLu. Source: the Alexandria database, functional GGA-PBE.

- Symmetry: P3m1 (156)
- Formation energy from the elements: 0.14 eV per atom
- Crystal system: trigonal
- Excess energy over the best structure of this formula in the dataset: 0 meV/atom
- Electronic total energy: -10.2 eV/cell

a = 3.5636 Å, b = 3.5636 Å, c = 9.2279 Å
α = 90.00°, β = 90.00°, γ = 120.00°
Site moments in Bohr magnetons follow the coordinates.
Atoms (fractional coordinates):
Pr  0.3333  0.6667  0.6478  -0.03
Lu  0.6667  0.3333  0.3465  -0.08
Na  0.0000  0.0000  0.0057  0.00

3.
A relaxed structure of Tb6Ho4Sc. Source: the Alexandria database, functional GGA-PBE.

- Symmetry: I-42m (121)
- Formation energy from the elements: 0.30 eV per atom
- Crystal system: tetragonal
- Excess energy over the best structure of this formula in the dataset: 163 meV/atom
- Electronic total energy: -49.1 eV/cell

a = 6.4913 Å, b = 6.4913 Å, c = 9.6392 Å
α = 109.68°, β = 109.68°, γ = 90.00°
Atoms (fractional coordinates):
Tb  0.5000  0.0000  0.0000
Tb  0.4863  0.8580  0.3442
Tb  0.8580  0.4863  0.3442
Tb  0.5137  0.5137  0.6558
Tb  0.1420  0.1420  0.6558
Tb  0.0000  0.5000  0.0000
Ho  0.9523  0.9523  0.2632
Ho  0.6890  0.0477  0.7368
Ho  0.0477  0.6890  0.7368
Ho  0.3110  0.3110  0.2632
Sc  0.5000  0.5000  0.0000

4.
A relaxed structure of Ti2InHg. Source: the Alexandria database, functional GGA-PBE.

- Symmetry: F-43m (216)
- Formation energy from the elements: 0.22 eV per atom
- Crystal system: cubic
- Electronic total energy: -18.0 eV/cell

a = 4.8325 Å, b = 4.8325 Å, c = 4.8323 Å
α = 60.00°, β = 60.00°, γ = 60.00°
Site moments in Bohr magnetons follow the coordinates.
Atoms (fractional coordinates):
Ti  0.2500  0.2500  0.2499  1.48
Ti  0.9999  0.9999  0.0002  1.46
Hg  0.7500  0.7500  0.7499  0.02
In  0.5000  0.5000  0.4999  -0.02

5.
A relaxed structure of Sc4Te3O. Source: the Alexandria database, functional GGA-PBE.

- Symmetry: Pmn2_1 (31)
- Crystal system: orthorhombic
- Electronic total energy: -101.6 eV/cell
- Raw formation energy: -1.39 eV/atom

a = 5.7788 Å, b = 7.6480 Å, c = 9.2226 Å
α = 90.00°, β = 90.00°, γ = 90.00°
Atoms (fractional coordinates):
Te  0.5856  0.7631  0.0000
Te  0.0856  0.2369  0.5000
Te  0.5729  0.3575  0.7547
Te  0.5729  0.3575  0.2453
Te  0.0729  0.6425  0.2547
Te  0.0729  0.6425  0.7453
Sc  0.0736  0.2398  0.8039
Sc  0.5876  0.1183  0.5000
Sc  0.0736  0.2398  0.1961
Sc  0.5736  0.7602  0.6961
Sc  0.0876  0.8817  0.0000
Sc  0.5966  0.1320  0.0000
Sc  0.0966  0.8680  0.5000
Sc  0.5736  0.7602  0.3039
O  0.4523  0.8574  0.5000
O  0.9523  0.1426  0.0000

6.
A relaxed structure of Zr2Al2W. Source: the Alexandria database, functional GGA-PBE.

- Symmetry: P4/mbm (127)
- Formation energy from the elements: -0.23 eV per atom
- Crystal system: tetragonal
- Electronic total energy: -77.4 eV/cell

a = 7.0407 Å, b = 7.0407 Å, c = 3.7602 Å
α = 90.00°, β = 90.00°, γ = 90.00°
Atoms (fractional coordinates):
W  0.0000  0.0000  0.0000
W  0.5000  0.5000  0.0000
Al  0.1278  0.3722  0.0000
Al  0.8722  0.6278  0.0000
Al  0.6278  0.1278  0.0000
Al  0.3722  0.8722  0.0000
Zr  0.8235  0.3235  0.5000
Zr  0.1765  0.6765  0.5000
Zr  0.6765  0.8235  0.5000
Zr  0.3235  0.1765  0.5000

7.
A relaxed structure of Mg3Ga7Pt4. Source: the Alexandria database, functional GGA-PBE.

- Symmetry: C2/m (12)
- Formation energy from the elements: -0.54 eV per atom
- Crystal system: monoclinic
- Electronic total energy: -57.7 eV/cell

a = 4.1256 Å, b = 7.6212 Å, c = 9.0080 Å
α = 67.46°, β = 76.76°, γ = 74.30°
Atoms (fractional coordinates):
Ga  0.5009  0.7878  0.2104
Ga  0.3213  0.8375  0.5199
Ga  0.0000  0.0000  0.0000
Ga  0.4991  0.2122  0.7896
Ga  0.8384  0.3838  0.9394
Ga  0.6787  0.1625  0.4801
Ga  0.1616  0.6162  0.0606
Pt  0.1190  0.0906  0.6715
Pt  0.3318  0.5567  0.7796
Pt  0.8810  0.9094  0.3285
Pt  0.6682  0.4433  0.2204
Mg  0.7014  0.8102  0.7869
Mg  0.2986  0.1898  0.2131
Mg  0.0000  0.5000  0.5000

8.
A relaxed structure of Ba2HfCdGe. Source: the Alexandria database, functional GGA-PBE.

- Symmetry: P4/mmm (123)
- Formation energy from the elements: 0.39 eV per atom
- Crystal system: tetragonal
- Electronic total energy: -17.4 eV/cell

a = 6.3942 Å, b = 5.1603 Å, c = 6.3942 Å
α = 90.00°, β = 90.00°, γ = 90.00°
Atoms (fractional coordinates):
Ba  0.5000  0.0000  0.0000
Ba  0.0000  0.0000  0.5000
Ge  0.0000  0.5000  0.0000
Hf  0.0000  0.0000  0.0000
Cd  0.5000  0.5000  0.5000

9.
A relaxed structure of Si4MoPt. Source: the Alexandria database, functional GGA-PBE.

- Symmetry: F-43m (216)
- Crystal system: cubic
- Electronic total energy: -36.7 eV/cell
- Raw formation energy: 0.31 eV/atom

a = 4.9010 Å, b = 4.9010 Å, c = 4.9010 Å
α = 60.00°, β = 60.00°, γ = 60.00°
Atoms (fractional coordinates):
Si  0.6250  0.1251  0.6250
Si  0.6250  0.6250  0.6250
Si  0.1251  0.6250  0.6250
Si  0.6250  0.6250  0.1251
Mo  0.2500  0.2500  0.2500
Pt  0.0000  0.0000  0.0000

10.
A relaxed structure of AcDy2HoAs4. Source: the Alexandria database, functional GGA-PBE.

- Symmetry: P2/m (10)
- Formation energy from the elements: -1.47 eV per atom
- Crystal system: monoclinic
- Electronic total energy: -48.2 eV/cell

a = 4.2312 Å, b = 7.3268 Å, c = 7.3260 Å
α = 70.62°, β = 90.00°, γ = 90.00°
Atoms (fractional coordinates):
As  0.5000  0.7569  0.2584
As  0.0000  0.7654  0.7337
As  0.5000  0.2431  0.7416
As  0.0000  0.2346  0.2663
Dy  0.5000  0.0000  0.5000
Dy  0.0000  0.0000  0.0000
Ac  0.5000  0.5000  0.0000
Ho  0.0000  0.5000  0.5000

11.
A relaxed structure of Ho2TmSc3Se6. Source: the Alexandria database, functional GGA-PBE.

- Symmetry: C2/m (12)
- Crystal system: monoclinic
- Electronic total energy: -73.3 eV/cell
- Raw formation energy: -1.64 eV/atom

a = 3.9550 Å, b = 7.9397 Å, c = 8.8446 Å
α = 102.83°, β = 102.92°, γ = 90.00°
Atoms (fractional coordinates):
Se  0.0031  0.7455  0.0062
Se  0.3369  0.4096  0.6738
Se  0.6631  0.5904  0.3262
Se  0.9969  0.2545  0.9938
Se  0.3317  0.9253  0.6634
Se  0.6683  0.0747  0.3366
Sc  0.1679  0.8323  0.3358
Sc  0.5000  0.5000  0.0000
Sc  0.8321  0.1677  0.6642
Ho  0.8324  0.6656  0.6648
Ho  0.1676  0.3344  0.3352
Tm  0.5000  0.0000  0.0000

12.
A relaxed structure of Ac12Tl5Ga2. Source: the Alexandria database, functional GGA-PBE.

- Symmetry: C2/m (12)
- Formation energy from the elements: -0.13 eV per atom
- Crystal system: monoclinic
- Electronic total energy: -69.7 eV/cell

a = 8.0294 Å, b = 10.2433 Å, c = 10.7091 Å
α = 101.83°, β = 90.00°, γ = 113.07°
Atoms (fractional coordinates):
Ac  0.6071  0.6983  0.4216
Ac  0.4221  0.3378  0.1015
Ac  0.9088  0.3017  0.5784
Ac  0.0912  0.6983  0.4216
Ac  0.0182  0.0364  0.8249
Ac  0.0843  0.6622  0.8985
Ac  0.9818  0.9636  0.1751
Ac  0.3929  0.3017  0.5784
Ac  0.5086  0.0172  0.2865
Ac  0.5779  0.6622  0.8985
Ac  0.9157  0.3378  0.1015
Ac  0.4914  0.9828  0.7135
Ga  0.6626  0.0000  0.0000
Ga  0.3374  0.0000  0.0000
Tl  0.6968  0.3935  0.3643
Tl  0.6749  0.3497  0.8415
Tl  0.0000  0.0000  0.5000
Tl  0.3032  0.6065  0.6357
Tl  0.3251  0.6503  0.1585